Record 1
{"formula": "Ba2LaRu", "functional": "PBE-GGA", "state": "optimized geometry", "lattice_angstrom": [[4.7082, 0.0000, 0.0000], [0.0000, 4.7082, 0.0000], [0.0000, 0.0000, 5.7795]], "species": ["La", "Ba", "Ba", "Ru"], "frac_coords": [[0.5000, 0.0000, 0.5000], [0.5000, 0.5000, 0.0000], [0.0000, 0.0000, 0.0000], [0.0000, 0.5000, 0.5000]], "e_tot_ev_per_atom": -3.9890, "de_polymorph_mev_per_atom": 462, "ef_ev_per_atom": 0.523, "magmom_total_mub_per_cell": 0.000}


Record 2
{"formula": "InAgRh2", "functional": "PBE-GGA", "state": "optimized geometry", "lattice_angstrom": [[-0.6130, 8.8311, 2.8645], [-2.6866, 7.6519, 4.5608], [0.1150, 7.5725, 5.4050]], "species": ["Rh", "Rh", "Ag", "In"], "frac_coords": [[0.0028, 0.0028, 0.0028], [0.7454, 0.7454, 0.7454], [0.4967, 0.4967, 0.4967], [0.2551, 0.2551, 0.2551]], "e_tot_ev_per_atom": -4.8969, "ef_ev_per_atom": 0.176, "magmom_total_mub_per_cell": 1.304}


Record 3
{"formula": "H3PdF", "functional": "PBE-GGA", "state": "optimized geometry", "lattice_angstrom": [[-0.4315, 0.0125, 3.2987], [-1.6257, -2.8956, -0.2017], [2.8703, -1.6381, 0.3816]], "species": ["H", "H", "H", "F", "Pd"], "frac_coords": [[0.5000, 0.0000, 0.0000], [0.0000, 0.0000, 0.5000], [0.0000, 0.5000, 0.0000], [0.0000, 0.0000, 0.0000], [0.5000, 0.5000, 0.5000]], "e_tot_ev_per_atom": -2.7453, "de_polymorph_mev_per_atom": 569, "magmom_total_mub_per_cell": 0.000}


Record 4
{"formula": "Zr3ReB", "functional": "PBE-GGA", "state": "optimized geometry", "lattice_angstrom": [[4.5546, 0.0000, 0.0000], [0.0000, 4.5546, 0.0000], [0.0000, 0.0000, 4.5546]], "species": ["Re", "Zr", "Zr", "Zr", "B"], "frac_coords": [[0.5000, 0.5000, 0.5000], [0.0000, 0.0000, 0.5000], [0.0000, 0.5000, 0.0000], [0.5000, 0.0000, 0.0000], [0.0000, 0.0000, 0.0000]], "e_tot_ev_per_atom": -8.8107, "de_polymorph_mev_per_atom": 0, "ef_ev_per_atom": 0.143, "magmom_total_mub_per_cell": 0.000}